# 1
CsVInBr6 (PBE, optimized geometry); DOS(E_F) = 0.426 states/eV per atom; formation energy from raw total energies = -1.063 eV/atom; symmetry = No. 149; calculated total energy = -32.32 eV/cell
1.0
7.011 0.000 0.000
-3.505 6.072 0.000
0.000 0.000 8.200
Cs V In Br
1 1 1 6
direct
0.000 0.000 0.000 Cs
0.333 0.667 0.500 V
0.667 0.333 0.500 In
0.015 0.377 0.685 Br
0.015 0.637 0.315 Br
0.363 0.377 0.315 Br
0.363 0.985 0.685 Br
0.623 0.637 0.685 Br
0.623 0.985 0.315 Br

***

# 2
InSn3Pb12 (PBE, optimized geometry); DOS(E_F) = 0.769 states/eV per atom; formation enthalpy at 0 K = 0.033 eV/atom; symmetry = No. 123; calculated total energy = -58.71 eV/cell
1.0
5.008 0.000 0.000
0.000 5.008 0.000
0.000 0.000 19.544
In Sn Pb
1 3 12
direct
0.000 0.000 0.000 In
0.000 0.000 0.249 Sn
0.000 0.000 0.500 Sn
0.000 0.000 0.751 Sn
0.000 0.500 0.125 Pb
0.000 0.500 0.375 Pb
0.000 0.500 0.625 Pb
0.000 0.500 0.875 Pb
0.500 0.000 0.125 Pb
0.500 0.000 0.375 Pb
0.500 0.000 0.625 Pb
0.500 0.000 0.875 Pb
0.500 0.500 0.000 Pb
0.500 0.500 0.250 Pb
0.500 0.500 0.500 Pb
0.500 0.500 0.750 Pb

***

# 3
ZnBIr2 (PBE, optimized geometry); DOS(E_F) = 0.294 states/eV per atom; energy relative to the lowest polymorph listed for this composition = 0.43 eV/f.u.; formation enthalpy at 0 K = -0.155 eV/atom; symmetry = No. 8; calculated total energy = -52.59 eV/cell
1.0
4.881 0.000 0.000
0.000 2.822 0.000
-1.595 0.000 7.340
Zn B Ir
2 2 4
direct
0.000 0.000 0.000 Zn
0.500 0.500 0.000 Zn
0.333 0.500 0.500 B
0.833 0.000 0.500 B
0.234 0.000 0.702 Ir
0.433 0.000 0.299 Ir
0.734 0.500 0.702 Ir
0.933 0.500 0.299 Ir

***

# 4
V2Mo2W (PBE, optimized geometry); DOS(E_F) = 0.506 states/eV per atom; energy relative to the lowest polymorph listed for this composition = 0.03 eV/f.u.; formation enthalpy at 0 K = -0.119 eV/atom; symmetry = No. 12; calculated total energy = -106.90 eV/cell
1.0
7.591 0.000 0.000
0.000 4.367 0.000
-2.522 0.000 4.497
V Mo W
4 4 2
direct
0.102 0.000 0.305 V
0.398 0.500 0.695 V
0.602 0.500 0.305 V
0.898 0.000 0.695 V
0.200 0.500 0.101 Mo
0.300 0.000 0.899 Mo
0.700 0.000 0.101 Mo
0.800 0.500 0.899 Mo
0.000 0.500 0.500 W
0.500 0.000 0.500 W

***

# 5
MnFeCu2 (PBE, optimized geometry); DOS(E_F) = 0.974 states/eV per atom; formation enthalpy at 0 K = 0.211 eV/atom; symmetry = No. 166; calculated total energy = -74.95 eV/cell
1.0
2.539 0.000 0.000
-1.269 2.198 0.000
0.000 0.000 25.779
Mn Fe Cu
3 3 6
direct
0.000 0.000 0.000 Mn
0.333 0.667 0.667 Mn
0.667 0.333 0.333 Mn
0.000 0.000 0.500 Fe
0.333 0.667 0.167 Fe
0.667 0.333 0.833 Fe
0.000 0.000 0.250 Cu
0.000 0.000 0.750 Cu
0.333 0.667 0.417 Cu
0.333 0.667 0.916 Cu
0.667 0.333 0.084 Cu
0.667 0.333 0.583 Cu

***

# 6
PmSmHgAu (PBE, optimized geometry); DOS(E_F) = 0.824 states/eV per atom; energy relative to the lowest polymorph listed for this composition = 0.00 eV/f.u.; formation enthalpy at 0 K = -0.631 eV/atom; symmetry = No. 99; calculated total energy = -15.57 eV/cell
1.0
3.742 0.000 0.000
0.000 3.742 0.000
0.000 0.000 7.492
Pm Sm Hg Au
1 1 1 1
direct
0.000 0.000 0.000 Pm
0.000 0.000 0.477 Sm
0.500 0.500 0.737 Hg
0.500 0.500 0.243 Au